Entry 1:
GePNF2: relaxed, GGA-PBEsol.

Summary:
Total moment, μB/f.u.: 1.4

Geometry as POSCAR:
```
GePNF2
1.0
-2.4551 -2.4207 1.8315
-0.1242 -2.2735 -3.1714
3.0616 -2.0720 1.3655
F N P Ge
2 1 1 1
Cartesian
-1.2276 -1.2104 0.9157
-0.0621 -1.1367 -1.5857
1.5308 -1.0360 0.6827
0.2411 -3.3831 0.0128
0.0000 0.0000 0.0000
```

---

Entry 2:
GeSbN2F: relaxed, GGA-PBEsol.

Summary:
Total moment, μB/f.u.: 0.0

Geometry as POSCAR:
```
GeSbN2F
1.0
3.7727 0.0000 0.0000
0.0000 3.9065 0.0000
0.0000 0.0000 3.9065
Sb F Ge N
1 1 1 2
Cartesian
1.8863 1.9532 1.9532
1.8863 0.0000 0.0000
0.0000 0.0000 0.0000
0.0000 1.9532 0.0000
0.0000 0.0000 1.9532
```

---

no.,E_form (uncorrected) (eV per atom)
1,-0.125
2,0.023